No. 1
First-principles (PBE-GGA) data for BaVRh2 after structural relaxation, as listed in Alexandria.

- energy above the lowest structure with this stoichiometry (eV per formula unit) = 0.00
- total energy (eV/atom) = -6.19
- space-group type = I-42d (122)
- ΔE_f (eV per formula unit) = 0.98

a = 5.3033 Å, b = 5.3033 Å, c = 8.4851 Å
α = 71.79°, β = 71.79°, γ = 90.00°
Last column: nearest neighbours and their distance in Å.
Element x y z (fractional)
V  0.2500  0.7500  0.5000  4 Rh 2.33
V  0.5000  0.5000  0.0000  4 Rh 2.33
Rh  0.4123  0.6250  0.2500  2 V 2.33
Rh  0.3377  0.1250  0.2500  2 V 2.33
Rh  0.8750  0.5877  0.7500  2 V 2.33
Rh  0.3750  0.6623  0.7500  2 V 2.33
Ba  0.0000  0.0000  0.0000  8 Rh 3.38-3.67, 4 V 3.75
Ba  0.7500  0.2500  0.5000  8 Rh 3.38-3.67, 4 V 3.75



No. 2
First-principles (PBE-GGA) data for Ba2VZnRh after structural relaxation, as listed in Alexandria.

- total energy (eV/atom) = -3.40
- space-group type = P4/mmm (123)
- ΔE_f (eV per formula unit) = 4.60

a = 5.9559 Å, b = 4.7970 Å, c = 5.9559 Å
α = 90.00°, β = 90.00°, γ = 90.00°
Last column: nearest neighbours and their distance in Å.
Element x y z (fractional)
Ba  0.5000  0.0000  0.0000  2 V 2.98
Ba  0.0000  0.0000  0.5000  2 V 2.98
Zn  0.0000  0.5000  0.0000  2 V 2.40
Rh  0.5000  0.5000  0.5000  8 Ba 3.82, 4 Zn 4.21
V  0.0000  0.0000  0.0000  2 Zn 2.40



No. 3
First-principles (PBE-GGA) data for BaZrV2Rh after structural relaxation, as listed in Alexandria.

- total energy (eV/atom) = -6.00
- space-group type = P4/mmm (123)
- ΔE_f (eV per formula unit) = 6.07

a = 4.7184 Å, b = 5.5003 Å, c = 4.7184 Å
α = 90.00°, β = 90.00°, γ = 90.00°
Last column: nearest neighbours and their distance in Å.
Element x y z (fractional)
V  0.0000  0.0000  0.5000  2 Rh 2.36
V  0.5000  0.0000  0.0000  2 Rh 2.36
Rh  0.0000  0.0000  0.0000  4 V 2.36
Ba  0.0000  0.5000  0.0000  2 Rh 2.75
Zr  0.5000  0.5000  0.5000  4 Ba 3.34, 8 V 3.62



No. 4
First-principles (PBE-GGA) data for BaZr2VRh after structural relaxation, as listed in Alexandria.

- total energy (eV/atom) = -6.13
- space-group type = P4/mmm (123)
- ΔE_f (eV per formula unit) = 4.86

a = 4.8323 Å, b = 5.6095 Å, c = 4.8323 Å
α = 90.00°, β = 90.00°, γ = 90.00°
Last column: nearest neighbours and their distance in Å.
Element x y z (fractional)
V  0.0000  0.0000  0.0000  4 Zr 2.42
Zr  0.0000  0.0000  0.5000  2 V 2.42
Zr  0.5000  0.0000  0.0000  2 V 2.42
Rh  0.5000  0.5000  0.5000  4 Ba 3.42, 8 Zr 3.70
Ba  0.0000  0.5000  0.0000  2 V 2.80



No. 5
First-principles (PBE-GGA) data for Ba2RhW after structural relaxation, as listed in Alexandria.

- energy above the lowest structure with this stoichiometry (eV per formula unit) = 2.73
- total energy (eV/atom) = -4.85
- space-group type = Cmmm (65)
- ΔE_f (eV per formula unit) = 4.75

a = 5.9017 Å, b = 5.9017 Å, c = 3.2213 Å
α = 90.00°, β = 90.00°, γ = 107.56°
Last column: nearest neighbours and their distance in Å.
Element x y z (fractional)
Ba  0.0000  0.5000  0.0000  4 Ba 3.22-3.49, 4 W 3.36, 4 Rh 3.36
Ba  0.5000  0.0000  0.0000  4 Ba 3.22-3.49, 4 Rh 3.36, 4 W 3.36
W  0.5000  0.5000  0.5000  2 W 3.22, 8 Ba 3.36, 2 Rh 3.49
Rh  0.0000  0.0000  0.5000  2 Rh 3.22, 8 Ba 3.36, 2 W 3.49



No. 6
First-principles (PBE-GGA) data for Ba2RhW after structural relaxation, as listed in Alexandria.

- energy above the lowest structure with this stoichiometry (eV per formula unit) = 0.19
- total energy (eV/atom) = -5.48
- space-group type = Imm2 (44)
- ΔE_f (eV per formula unit) = 2.21

a = 7.0597 Å, b = 7.0597 Å, c = 7.0597 Å
α = 147.27°, β = 135.62°, γ = 56.22°
Last column: nearest neighbours and their distance in Å.
Element x y z (fractional)
Ba  0.2619  0.7619  0.5000  4 W 3.48, 2 Rh 3.55, 2 Ba 3.86
Ba  0.9855  0.9855  0.0000  4 Rh 3.50, 2 W 3.59, 2 Ba 3.86
Rh  0.5738  0.5738  0.0000  2 W 2.38
W  0.6787  0.1787  0.5000  2 Rh 2.38



No. 7
First-principles (PBE-GGA) data for BaRhW3 after structural relaxation, as listed in Alexandria.

- energy above the lowest structure with this stoichiometry (eV per formula unit) = 0.00
- total energy (eV/atom) = -7.81
- space-group type = Pm-3m (221)
- ΔE_f (eV per formula unit) = 9.09

a = 4.9122 Å, b = 4.9122 Å, c = 4.9122 Å
α = 90.00°, β = 90.00°, γ = 90.00°
Last column: nearest neighbours and their distance in Å.
Element x y z (fractional)
W  0.0000  0.0000  0.5000  2 Rh 2.46
W  0.5000  0.0000  0.0000  2 Rh 2.46
W  0.0000  0.5000  0.0000  2 Rh 2.46
Ba  0.5000  0.5000  0.5000  12 W 3.47
Rh  0.0000  0.0000  0.0000  6 W 2.46



No. 8
First-principles (PBE-GGA) data for Ba2RhW after structural relaxation, as listed in Alexandria.

- energy above the lowest structure with this stoichiometry (eV per formula unit) = 2.91
- total energy (eV/atom) = -4.80
- space-group type = R-3m (166)
- ΔE_f (eV per formula unit) = 4.93

a = 10.4914 Å, b = 10.4914 Å, c = 10.4914 Å
α = 18.81°, β = 18.81°, γ = 18.81°
Last column: nearest neighbours and their distance in Å.
Element x y z (fractional)
Rh  0.5000  0.5000  0.5000  6 Ba 3.09, 6 Rh 3.43
Ba  0.2435  0.2435  0.2435  3 Rh 3.09, 3 W 3.41, 6 Ba 3.43
Ba  0.7565  0.7565  0.7565  3 Rh 3.09, 3 W 3.41, 6 Ba 3.43
W  0.0000  0.0000  0.0000  6 Ba 3.41, 6 W 3.43



No. 9
First-principles (PBE-GGA) data for Ba3RhW after structural relaxation, as listed in Alexandria.

- energy above the lowest structure with this stoichiometry (eV per formula unit) = 0.00
- total energy (eV/atom) = -4.26
- space-group type = Pm-3m (221)
- ΔE_f (eV per formula unit) = 4.77

a = 5.9221 Å, b = 5.9221 Å, c = 5.9221 Å
α = 90.00°, β = 90.00°, γ = 90.00°
Last column: nearest neighbours and their distance in Å.
Element x y z (fractional)
Ba  0.0000  0.0000  0.5000  2 Rh 2.96
Ba  0.0000  0.5000  0.0000  2 Rh 2.96
Ba  0.5000  0.0000  0.0000  2 Rh 2.96
Rh  0.0000  0.0000  0.0000  6 Ba 2.96
W  0.5000  0.5000  0.5000  12 Ba 4.19



No. 10
First-principles (PBE-GGA) data for Ba4RhW after structural relaxation, as listed in Alexandria.

- total energy (eV/atom) = -3.12
- space-group type = F-43m (216)
- ΔE_f (eV per formula unit) = 9.27

a = 6.8021 Å, b = 6.8021 Å, c = 6.8021 Å
α = 60.00°, β = 60.00°, γ = 60.00°
Last column: nearest neighbours and their distance in Å.
Element x y z (fractional)
Ba  0.3753  0.3753  0.8741  6 Ba 3.39-3.41
Ba  0.3753  0.8741  0.3753  6 Ba 3.39-3.41
Ba  0.8741  0.3753  0.3753  6 Ba 3.39-3.41
Ba  0.3753  0.3753  0.3753  6 Ba 3.39-3.41
Rh  0.7500  0.7500  0.7500  12 Ba 3.99, 4 W 4.17
W  0.0000  0.0000  0.0000  12 Ba 3.99, 4 Rh 4.17



No. 11
First-principles (PBE-GGA) data for Ba2RhW after structural relaxation, as listed in Alexandria.

- energy above the lowest structure with this stoichiometry (eV per formula unit) = 0.00
- total energy (eV/atom) = -5.53
- space-group type = Pm (6)
- ΔE_f (eV per formula unit) = 2.02

a = 3.4979 Å, b = 3.4179 Å, c = 10.1660 Å
α = 80.89°, β = 90.00°, γ = 90.00°
Last column: nearest neighbours and their distance in Å.
Element x y z (fractional)
Rh  0.0000  0.9770  0.4231  4 W 2.61
Ba  0.5000  0.3587  0.6734  4 Ba 3.42-3.50, 1 W 3.42, 4 Rh 3.51
Ba  0.0000  0.1437  0.0709  4 Ba 3.42-3.50, 1 Rh 3.54, 4 W 3.59
W  0.5000  0.5206  0.3326  4 Rh 2.61



No. 12
First-principles (PBE-GGA) data for BaRh3W after structural relaxation, as listed in Alexandria.

- energy above the lowest structure with this stoichiometry (eV per formula unit) = 11.42
- total energy (eV/atom) = -4.73
- space-group type = Pm-3m (221)
- ΔE_f (eV per formula unit) = 13.27

a = 4.9128 Å, b = 4.9128 Å, c = 4.9128 Å
α = 90.00°, β = 90.00°, γ = 90.00°
Last column: nearest neighbours and their distance in Å.
Element x y z (fractional)
W  0.5000  0.5000  0.5000  12 Rh 3.47
Rh  0.5000  0.0000  0.0000  2 Ba 2.46
Rh  0.0000  0.5000  0.0000  2 Ba 2.46
Rh  0.0000  0.0000  0.5000  2 Ba 2.46
Ba  0.0000  0.0000  0.0000  6 Rh 2.46